Below is an optimized crystal structure of OsRu2S, with properties calculated at the PBE level. Values from VASP.

N(E_F) in states/eV/cell: 2.9
Mass density in g/cm³: 12.73
Space-group type: No. 38
Raw total energy in eV/atom: -8.384

Cell and atoms, written as Quantum ESPRESSO input:
```
&SYSTEM
  ibrav = 0, nat = 4, ntyp = 3
/
ATOMIC_SPECIES
Os 190.23 Os.upf
Ru 101.07 Ru.upf
S 32.06 S.upf
CELL_PARAMETERS angstrom
2.836 0.000 0.000
0.000 3.612 2.702
0.000 -3.612 2.702
ATOMIC_POSITIONS crystal
Os 0.000 0.000 0.000
Ru 0.500 0.452 0.840
Ru 0.500 0.840 0.452
S 0.000 0.424 0.424
```



Below is an optimized crystal structure of K2NaRu, with properties calculated at the PBE level. Values from VASP.

Distance to the lowest polymorph of the same formula in eV/atom: 0.122
Energy of formation from the pure elements in kcal/mol of atoms: 26.765
N(E_F) in states/eV/cell: 23.4
Mass density in g/cm³: 2.45
Space-group type: No. 122
Raw total energy in eV/atom: -2.037

Cell and atoms, written as Quantum ESPRESSO input:
```
&SYSTEM
  ibrav = 0, nat = 8, ntyp = 3
/
ATOMIC_SPECIES
K 39.10 K.upf
Na 22.99 Na.upf
Ru 101.07 Ru.upf
CELL_PARAMETERS angstrom
-2.413 2.413 11.777
2.413 -2.413 11.777
2.413 2.413 -11.777
ATOMIC_POSITIONS crystal
K 0.111 0.625 0.986
K 0.375 0.361 0.486
K 0.639 0.125 0.014
K 0.875 0.889 0.514
Na 0.250 0.750 0.500
Na 0.500 0.500 0.000
Ru 0.000 0.000 0.000
Ru 0.750 0.250 0.500
```



Below is an optimized crystal structure of Zr5Si2Bi, with properties calculated at the PBE level. Values from VASP.

N(E_F) in states/eV/cell: 14.5
Mass density in g/cm³: 7.20
Space-group type: No. 140
Raw total energy in eV/atom: -7.895

Cell and atoms, written as Quantum ESPRESSO input:
```
&SYSTEM
  ibrav = 0, nat = 16, ntyp = 3
/
ATOMIC_SPECIES
Zr 91.22 Zr.upf
Si 28.09 Si.upf
Bi 208.98 Bi.upf
CELL_PARAMETERS angstrom
-3.566 3.566 6.546
3.566 -3.566 6.546
3.566 3.566 -6.546
ATOMIC_POSITIONS crystal
Zr 0.000 0.000 0.000
Zr 0.027 0.527 0.830
Zr 0.197 0.027 0.500
Zr 0.303 0.803 0.830
Zr 0.473 0.303 0.500
Zr 0.500 0.500 0.000
Zr 0.527 0.697 0.500
Zr 0.697 0.197 0.170
Zr 0.803 0.973 0.500
Zr 0.973 0.473 0.170
Si 0.129 0.371 0.500
Si 0.371 0.871 0.241
Si 0.629 0.129 0.759
Si 0.871 0.629 0.500
Bi 0.250 0.250 0.000
Bi 0.750 0.750 0.000
```



Below is an optimized crystal structure of HoGe2Rh2, with properties calculated at the PBE level. Values from VASP.

Energy of formation from the pure elements in kcal/mol of atoms: -20.297
N(E_F) in states/eV/cell: 2.7
Mass density in g/cm³: 9.71
Space-group type: No. 139
Raw total energy in eV/atom: -6.583

Cell and atoms, written as Quantum ESPRESSO input:
```
&SYSTEM
  ibrav = 0, nat = 5, ntyp = 3
/
ATOMIC_SPECIES
Ho 164.93 Ho.upf
Ge 72.64 Ge.upf
Rh 102.91 Rh.upf
CELL_PARAMETERS angstrom
-2.064 2.064 5.182
2.064 -2.064 5.182
2.064 2.064 -5.182
ATOMIC_POSITIONS crystal
Ho 0.000 0.000 0.000
Ge 0.379 0.379 0.000
Ge 0.621 0.621 0.000
Rh 0.250 0.750 0.500
Rh 0.750 0.250 0.500
```